# 1
First-principles (meta-GGA SCAN) data for a PBEsol-optimized structure of Fe3PSe, as listed in Alexandria via LeMat-Bulk.

Cell lengths 4.163, 4.163, 4.163 Å; angles 90.00, 90.00, 90.00 degrees
Space group Pm-3m (No. 221)
Unique sites:
Fe  0.000  0.000  0.500 (multiplicity 3)
P  0.000  0.000  0.000 (multiplicity 1)
Se  0.500  0.500  0.500 (multiplicity 1)

Properties
* calculated density: 6.386 Mg/m³
* ΔE_f (raw): 0.43 eV/atom
* E above lowest polymorph: 0 meV per atom

***

# 2
First-principles (meta-GGA SCAN) data for a PBEsol-optimized structure of AsIrS, as listed in Alexandria via LeMat-Bulk.

Cell lengths 5.777, 5.777, 5.777 Å; angles 90.00, 90.00, 90.00 degrees
Space group P2_13 (No. 198)
Unique sites:
As  0.118  0.382  0.618 (multiplicity 4)
Ir  0.005  0.995  0.495 (multiplicity 4)
S  0.114  0.114  0.114 (multiplicity 4)

Properties
* calculated density: 10.306 Mg/m³
* ΔE_f (raw): -0.72 eV/atom

***

# 3
First-principles (meta-GGA SCAN) data for a PBEsol-optimized structure of SrAlFe, as listed in Alexandria via LeMat-Bulk.

Cell lengths 6.976, 6.976, 6.976 Å; angles 90.00, 90.00, 90.00 degrees
Space group F-43m (No. 216)
Unique sites:
Sr  0.000  0.000  0.000 (multiplicity 4)
Al  0.250  0.250  0.750 (multiplicity 4)
Fe  0.250  0.250  0.250 (multiplicity 4)

Properties
* calculated density: 3.336 Mg/m³
* calculated formation energy: 1.19 eV/atom

***

# 4
First-principles (meta-GGA SCAN) data for a PBEsol-optimized structure of FeNiRh, as listed in Alexandria via LeMat-Bulk.

Cell lengths 2.590, 3.509, 7.751 Å; angles 90.00, 90.00, 90.00 degrees
Space group Imm2 (No. 44)
Unique sites:
Fe  0.000  0.000  0.000 (multiplicity 2)
Ni  0.000  0.000  0.660 (multiplicity 2)
Rh  0.000  0.000  0.331 (multiplicity 2)

Properties
* calculated density: 10.252 Mg/m³
* calculated formation energy: -0.07 eV/atom
* E above lowest polymorph: 0 meV per atom

***

# 5
First-principles (meta-GGA SCAN) data for a PBEsol-optimized structure of InRePb2, as listed in Alexandria via LeMat-Bulk.

Cell lengths 4.544, 4.544, 8.536 Å; angles 90.00, 90.00, 90.00 degrees
Space group I-4m2 (No. 119)
Unique sites:
In  0.000  0.000  0.000 (multiplicity 2)
Re  0.000  0.500  0.250 (multiplicity 2)
Pb  0.000  0.000  0.500 (multiplicity 2)
Pb  0.000  0.500  0.750 (multiplicity 2)

Properties
* calculated density: 13.482 Mg/m³
* calculated formation energy: 1.07 eV/atom
* E above lowest polymorph: 382 meV per atom

***

# 6
First-principles (meta-GGA SCAN) data for a PBEsol-optimized structure of ReSi, as listed in Alexandria via LeMat-Bulk.

Cell lengths 4.758, 4.758, 4.758 Å; angles 90.00, 90.00, 90.00 degrees
Space group P2_13 (No. 198)
Unique sites:
Re  0.136  0.136  0.136 (multiplicity 4)
Si  0.155  0.345  0.655 (multiplicity 4)

Properties
* calculated density: 13.210 Mg/m³
* ΔE_f (raw): -0.29 eV/atom

***

# 7
First-principles (meta-GGA SCAN) data for a PBEsol-optimized structure of MnOsSeBr2, as listed in Alexandria via LeMat-Bulk.

Cell lengths 4.774, 4.774, 5.008 Å; angles 90.00, 90.00, 90.00 degrees
Space group P4/mmm (No. 123)
Unique sites:
Mn  0.000  0.000  0.000 (multiplicity 1)
Os  0.500  0.500  0.500 (multiplicity 1)
Se  0.000  0.000  0.500 (multiplicity 1)
Br  0.000  0.500  0.000 (multiplicity 2)

Properties
* calculated density: 7.039 Mg/m³
* ΔE_f (raw): 0.93 eV/atom

***

# 8
First-principles (meta-GGA SCAN) data for a PBEsol-optimized structure of Na2Cd2Ga, as listed in Alexandria via LeMat-Bulk.

Cell lengths 4.096, 4.096, 14.829 Å; angles 90.00, 90.00, 90.00 degrees
Space group I4/mmm (No. 139)
Unique sites:
Na  0.000  0.500  0.250 (multiplicity 4)
Cd  0.000  0.000  0.092 (multiplicity 4)
Ga  0.000  0.000  0.500 (multiplicity 2)

Properties
* calculated density: 4.546 Mg/m³
* calculated formation energy: 0.19 eV/atom
* E above lowest polymorph: 256 meV per atom